Density functional theory data (GGA-PBEsol) for a geometry-optimized Zn2SbIr structure.

a b c (Å): 3.088 4.567 4.760
angles (deg): 90.00 90.00 93.59
Fractional coordinates of all 4 atoms:
Sb  0.500  0.500  0.500
Zn  0.239  0.231  0.000
Zn  0.761  0.769  0.000
Ir  0.000  0.000  0.500

**ΔE_f (raw)**: 0.56 eV/f.u.
**ΔE to the lowest computed polymorph**: 149 meV/atom
**Space group**: No. 10
**Total magnetic moment**: 0.0 μB per cell